(1)
Material: SrInSb2I
Method: DFT, PBE
State: relaxed

**D(E_F)**: 4.2 states/eV/cell
**E above lowest polymorph**: 343 meV/atom
**Raw formation energy**: 0.220 eV/atom
**Final energy**: -2.623 eV per atom

a b c (Å): 6.257 6.257 6.315
angles (deg): 90.00 90.00 90.00
Element x y z (fractional)
1 Sr 0.000 0.000 0.000
2 In 0.500 0.500 0.500
3 Sb 0.000 0.500 0.000
4 Sb 0.500 0.000 0.000
5 I 0.000 0.000 0.500

(2)
Material: InSbTeI2
Method: DFT, PBE
State: relaxed

**D(E_F)**: 3.7 states/eV/cell
**E above lowest polymorph**: 293 meV/atom
**Raw formation energy**: 0.254 eV/atom
**Final energy**: -2.367 eV per atom

a b c (Å): 6.223 6.223 5.783
angles (deg): 90.00 90.00 90.00
Element x y z (fractional)
1 In 0.000 0.000 0.000
2 Sb 0.500 0.500 0.000
3 Te 0.500 0.500 0.500
4 I 0.000 0.500 0.500
5 I 0.500 0.000 0.500